! RbSn6 | Alexandria | PBE | relaxed; values from VASP
! ΔE_f = -10 meV per atom
! DOS at the Fermi energy = 13.28 states/eV/cell
! Calculated density = 5.892 g/cm³
&SYSTEM
  ibrav = 0, nat = 28, ntyp = 2
/
ATOMIC_SPECIES
Sn 118.71 Sn.upf
Rb 85.47 Rb.upf
CELL_PARAMETERS angstrom
-2.4224 -5.4574 3.7239
6.4930 2.3359 7.6469
-8.6324 7.3097 5.0969
ATOMIC_POSITIONS crystal
Sn 0.5261 0.0573 0.6910
Sn 0.0261 0.4427 0.1910
Sn 0.4739 0.9427 0.3090
Sn 0.5261 0.5573 0.8090
Sn 0.2500 0.0676 0.8954
Sn 0.7500 0.6076 0.0494
Sn 0.7500 0.7060 0.2824
Sn 0.7500 0.9324 0.1046
Sn 0.2500 0.3924 0.9506
Sn 0.0261 0.9427 0.3090
Sn 0.2500 0.7940 0.7824
Sn 0.7500 0.1076 0.4506
Sn 0.2500 0.5676 0.6046
Sn 0.9739 0.0573 0.6910
Sn 0.2500 0.8924 0.5494
Sn 0.7500 0.3402 0.6327
Sn 0.9739 0.5573 0.8090
Sn 0.2500 0.6598 0.3673
Sn 0.2500 0.1598 0.1327
Sn 0.7500 0.8402 0.8673
Sn 0.4739 0.4427 0.1910
Sn 0.7500 0.4324 0.3954
Sn 0.2500 0.2940 0.7176
Sn 0.7500 0.2060 0.2176
Rb 0.7500 0.2423 0.9298
Rb 0.7500 0.7423 0.5702
Rb 0.2500 0.7577 0.0702
Rb 0.2500 0.2577 0.4298